[1]
Density functional theory data (PBE) for SmMgCuSeS2 after structural relaxation.

Cell lengths 6.534, 6.534, 10.720 Å; angles 90.00, 90.00, 146.35 degrees
Element x y z (fractional)
Sm: 0.000 0.000 0.000
Sm: 0.000 0.000 0.500
Mg: 0.218 0.782 0.750
Mg: 0.782 0.218 0.250
Cu: 0.479 0.521 0.250
Cu: 0.521 0.479 0.750
Se: 0.109 0.891 0.250
Se: 0.891 0.109 0.750
S: 0.356 0.644 0.089
S: 0.356 0.644 0.411
S: 0.644 0.356 0.589
S: 0.644 0.356 0.911

* electronic total energy: -58.25 eV for the cell shown
* space-group type: Cmcm, No. 63

[2]
Density functional theory data (PBE) for ZnSeO3 after structural relaxation.

Cell lengths 6.188, 12.038, 7.080 Å; angles 90.00, 90.00, 90.00 degrees
Element x y z (fractional)
Zn: 0.138 0.095 0.105
Zn: 0.138 0.405 0.605
Zn: 0.362 0.595 0.105
Zn: 0.362 0.905 0.605
Zn: 0.638 0.095 0.395
Zn: 0.638 0.405 0.895
Zn: 0.862 0.595 0.395
Zn: 0.862 0.905 0.895
Se: 0.110 0.146 0.550
Se: 0.110 0.354 0.050
Se: 0.390 0.646 0.550
Se: 0.390 0.854 0.050
Se: 0.610 0.146 0.950
Se: 0.610 0.354 0.450
Se: 0.890 0.646 0.950
Se: 0.890 0.854 0.450
O: 0.019 0.590 0.150
O: 0.019 0.910 0.650
O: 0.152 0.569 0.545
O: 0.152 0.931 0.045
O: 0.205 0.232 0.955
O: 0.205 0.268 0.455
O: 0.295 0.732 0.955
O: 0.295 0.768 0.455
O: 0.348 0.069 0.545
O: 0.348 0.431 0.045
O: 0.481 0.090 0.150
O: 0.481 0.410 0.650
O: 0.519 0.590 0.350
O: 0.519 0.910 0.850
O: 0.652 0.569 0.955
O: 0.652 0.931 0.455
O: 0.705 0.232 0.545
O: 0.705 0.268 0.045
O: 0.795 0.732 0.545
O: 0.795 0.768 0.045
O: 0.848 0.069 0.955
O: 0.848 0.431 0.455
O: 0.981 0.090 0.350
O: 0.981 0.410 0.850

* electronic total energy: -199.59 eV for the cell shown
* space-group type: Pbca, No. 61

[3]
Density functional theory data (PBE) for TaInCoCu after structural relaxation.

Cell lengths 4.423, 4.423, 4.423 Å; angles 60.00, 60.00, 60.00 degrees
Element x y z (fractional)
Ta: 0.000 0.000 0.000
In: 0.250 0.250 0.250
Co: 0.750 0.750 0.750
Cu: 0.500 0.500 0.500

* space-group type: F-43m, No. 216
* energy above the most stable polymorph in this dataset: 0.282 eV/atom

[4]
Density functional theory data (PBE) for BeTlBPt after structural relaxation.

Cell lengths 4.278, 4.278, 4.278 Å; angles 60.00, 60.00, 60.00 degrees
Element x y z (fractional)
Be: 0.000 0.000 0.000
Tl: 0.750 0.750 0.750
B: 0.500 0.500 0.500
Pt: 0.250 0.250 0.250

* space-group type: F-43m, No. 216
* energy above the most stable polymorph in this dataset: 0.000 eV/atom

[5]
Density functional theory data (PBE) for Pm6HoS8 after structural relaxation.

Cell lengths 8.026, 8.026, 8.026 Å; angles 60.00, 60.00, 60.00 degrees
Element x y z (fractional)
Pm: 0.000 0.000 0.500
Pm: 0.000 0.500 0.000
Pm: 0.000 0.500 0.500
Pm: 0.500 0.000 0.000
Pm: 0.500 0.000 0.500
Pm: 0.500 0.500 0.000
Ho: 0.000 0.000 0.000
S: 0.243 0.243 0.757
S: 0.243 0.757 0.243
S: 0.243 0.757 0.757
S: 0.250 0.250 0.250
S: 0.750 0.750 0.750
S: 0.757 0.243 0.243
S: 0.757 0.243 0.757
S: 0.757 0.757 0.243

* electronic total energy: -97.12 eV for the cell shown
* space-group type: Fm-3m, No. 225

[6]
Density functional theory data (PBE) for ErScBr2N after structural relaxation.

Cell lengths 3.535, 3.535, 10.065 Å; angles 90.00, 90.00, 120.00 degrees
Element x y z (fractional)
Er: 0.000 0.000 0.000
Sc: 0.333 0.667 0.242
Br: 0.000 0.000 0.422
Br: 0.333 0.667 0.805
N: 0.667 0.333 0.126

* electronic total energy: -31.09 eV for the cell shown
* space-group type: P3m1, No. 156

[7]
Density functional theory data (PBE) for ZnH12SO10 after structural relaxation.

Cell lengths 5.985, 5.985, 23.224 Å; angles 96.59, 96.59, 73.52 degrees
Element x y z (fractional)
Zn: 0.000 0.000 0.000
Zn: 0.000 0.000 0.500
Zn: 0.059 0.941 0.750
Zn: 0.941 0.059 0.250
H: 0.003 0.323 0.349
H: 0.032 0.643 0.424
H: 0.057 0.503 0.764
H: 0.062 0.696 0.903
H: 0.065 0.285 0.688
H: 0.069 0.360 0.948
H: 0.101 0.226 0.847
H: 0.197 0.658 0.297
H: 0.226 0.101 0.347
H: 0.260 0.318 0.004
H: 0.261 0.701 0.568
H: 0.278 0.556 0.803
H: 0.285 0.065 0.188
H: 0.298 0.631 0.448
H: 0.299 0.739 0.932
H: 0.304 0.938 0.597
H: 0.318 0.260 0.504
H: 0.323 0.003 0.849
H: 0.342 0.803 0.203
H: 0.357 0.968 0.076
H: 0.360 0.069 0.448
H: 0.369 0.702 0.052
H: 0.444 0.722 0.697
H: 0.497 0.943 0.736
H: 0.503 0.057 0.264
H: 0.556 0.278 0.303
H: 0.631 0.298 0.948
H: 0.640 0.931 0.552
H: 0.643 0.032 0.924
H: 0.658 0.197 0.797
H: 0.677 0.997 0.151
H: 0.682 0.740 0.496
H: 0.696 0.062 0.403
H: 0.701 0.261 0.068
H: 0.702 0.369 0.552
H: 0.715 0.935 0.812
H: 0.722 0.444 0.197
H: 0.739 0.299 0.432
H: 0.740 0.682 0.996
H: 0.774 0.899 0.653
H: 0.803 0.342 0.703
H: 0.899 0.774 0.153
H: 0.931 0.640 0.052
H: 0.935 0.715 0.312
H: 0.938 0.304 0.097
H: 0.943 0.497 0.236
H: 0.968 0.357 0.576
H: 0.997 0.677 0.651
S: 0.325 0.420 0.122
S: 0.420 0.325 0.622
S: 0.580 0.675 0.378
S: 0.675 0.580 0.878
O: 0.033 0.716 0.280
O: 0.069 0.531 0.116
O: 0.107 0.211 0.323
O: 0.117 0.629 0.786
O: 0.131 0.819 0.923
O: 0.134 0.672 0.459
O: 0.147 0.254 0.978
O: 0.169 0.373 0.633
O: 0.181 0.869 0.577
O: 0.211 0.107 0.823
O: 0.254 0.147 0.478
O: 0.284 0.967 0.220
O: 0.328 0.866 0.041
O: 0.371 0.883 0.714
O: 0.373 0.169 0.133
O: 0.422 0.428 0.066
O: 0.428 0.422 0.566
O: 0.439 0.543 0.171
O: 0.457 0.561 0.329
O: 0.469 0.931 0.384
O: 0.531 0.069 0.616
O: 0.543 0.439 0.671
O: 0.561 0.457 0.829
O: 0.572 0.578 0.434
O: 0.578 0.572 0.934
O: 0.627 0.831 0.867
O: 0.629 0.117 0.286
O: 0.672 0.134 0.959
O: 0.716 0.033 0.780
O: 0.746 0.853 0.522
O: 0.789 0.893 0.177
O: 0.819 0.131 0.423
O: 0.831 0.627 0.367
O: 0.853 0.746 0.022
O: 0.866 0.328 0.541
O: 0.869 0.181 0.077
O: 0.883 0.371 0.214
O: 0.893 0.789 0.677
O: 0.931 0.469 0.884
O: 0.967 0.284 0.720

* electronic total energy: -490.04 eV for the cell shown
* space-group type: C2/c, No. 15

[8]
Density functional theory data (PBE) for Cs2KCu3P2 after structural relaxation.

Cell lengths 7.628, 7.628, 7.628 Å; angles 48.29, 48.29, 48.29 degrees
Element x y z (fractional)
Cs: 0.093 0.093 0.093
Cs: 0.907 0.907 0.907
K: 0.500 0.500 0.500
Cu: 0.000 0.500 0.500
Cu: 0.500 0.000 0.500
Cu: 0.500 0.500 0.000
P: 0.267 0.267 0.267
P: 0.733 0.733 0.733

* electronic total energy: -26.90 eV for the cell shown
* space-group type: R-3m, No. 166

[9]
Density functional theory data (PBE) for TbHfCd2Au4 after structural relaxation.

Cell lengths 4.857, 4.857, 6.846 Å; angles 90.00, 90.00, 90.00 degrees
Element x y z (fractional)
Tb: 0.000 0.000 0.000
Hf: 0.500 0.500 0.500
Cd: 0.000 0.000 0.500
Cd: 0.500 0.500 0.000
Au: 0.000 0.500 0.265
Au: 0.000 0.500 0.735
Au: 0.500 0.000 0.265
Au: 0.500 0.000 0.735

* space-group type: P4/mmm, No. 123
* energy of formation from the pure elements: -545 meV/atom

[10]
Density functional theory data (PBE) for ErZrFeSi2 after structural relaxation.

Cell lengths 5.451, 5.451, 9.715 Å; angles 116.44, 116.44, 42.78 degrees
Element x y z (fractional)
Er: 0.190 0.190 0.106
Er: 0.810 0.810 0.894
Zr: 0.003 0.003 0.331
Zr: 0.997 0.997 0.669
Fe: 0.273 0.273 0.619
Fe: 0.727 0.727 0.381
Si: 0.354 0.354 0.433
Si: 0.495 0.495 0.134
Si: 0.505 0.505 0.866
Si: 0.646 0.646 0.567

* electronic total energy: -72.15 eV for the cell shown
* space-group type: C2/m, No. 12

[11]
Density functional theory data (PBE) for Ho5In4Ag after structural relaxation.

Cell lengths 3.565, 3.565, 20.213 Å; angles 90.00, 90.00, 90.00 degrees
Element x y z (fractional)
Ho: 0.000 0.000 0.000
Ho: 0.000 0.000 0.206
Ho: 0.000 0.000 0.409
Ho: 0.000 0.000 0.591
Ho: 0.000 0.000 0.794
In: 0.500 0.500 0.103
In: 0.500 0.500 0.308
In: 0.500 0.500 0.692
In: 0.500 0.500 0.897
Ag: 0.500 0.500 0.500

* electronic total energy: -40.99 eV for the cell shown
* space-group type: P4/mmm, No. 123

[12]
Density functional theory data (PBE) for ErZnPt after structural relaxation.

Cell lengths 4.437, 4.437, 6.810 Å; angles 90.00, 90.00, 120.00 degrees
Element x y z (fractional)
Er: 0.000 0.000 0.000
Er: 0.000 0.000 0.500
Zn: 0.333 0.667 0.248
Zn: 0.667 0.333 0.748
Pt: 0.333 0.667 0.747
Pt: 0.667 0.333 0.247

* space-group type: P6_3mc, No. 186
* energy of formation from the pure elements: -919 meV/atom